VASP calculation (PBE) on a geometry-optimized NaTlS2 structure.

extended XYZ file:
```
4
Lattice="2.138 1.234 7.410 -2.138 1.234 7.410 0.000 -2.469 7.410" Properties=species:S:1:pos:R:3 pbc="T T T"
Na 0.000 0.000 0.000
Tl 0.000 0.000 11.426
S 0.000 0.000 2.881
S 0.000 0.000 13.841
```

Output
- Fermi-level density of states (states/eV per cell) = 0.48
- uncorrected formation energy (eV per atom) = -0.46

---

VASP calculation (PBE) on a geometry-optimized Y4TlSbH structure.

extended XYZ file:
```
14
Lattice="3.211 -8.403 0.000 3.211 8.403 0.000 0.000 0.000 6.438" Properties=species:S:1:pos:R:3 pbc="T T T"
Y 1.605 4.201 0.000
Y 1.605 4.201 3.219
Y 3.211 7.209 4.828
Y 3.211 1.231 4.828
Y 1.605 -4.201 0.000
Y 1.605 -4.201 3.219
Y 3.211 -1.231 1.609
Y 3.211 -7.209 1.609
Tl 3.211 6.504 1.609
Tl 3.211 -6.504 4.828
Sb 3.211 1.891 1.609
Sb 3.211 -1.891 4.828
H 3.211 3.523 4.828
H 3.211 -3.523 1.609
```

Output
- Fermi-level density of states (states/eV per cell) = 12.11
- E_tot (eV per atom) = -5.71

---

VASP calculation (PBE) on a geometry-optimized LiYZn17 structure.

extended XYZ file:
```
19
Lattice="4.477 2.585 4.387 -4.477 2.585 4.387 0.000 -5.170 4.387" Properties=species:S:1:pos:R:3 pbc="T T T"
Li 0.000 0.000 0.000
Y 0.000 0.000 4.034
Zn -2.184 -1.261 6.227
Zn 0.000 -2.681 6.095
Zn -2.322 1.341 6.095
Zn -1.391 -2.326 8.459
Zn -2.710 -0.041 8.459
Zn -2.283 -1.318 10.846
Zn 0.000 0.000 7.185
Zn 2.184 -1.261 6.227
Zn 0.000 2.521 6.227
Zn 1.391 -2.326 8.459
Zn -1.319 2.367 8.459
Zn 0.000 0.000 9.882
Zn 2.322 1.341 6.095
Zn 2.710 -0.041 8.459
Zn 1.319 2.367 8.459
Zn 2.283 -1.318 10.846
Zn 0.000 2.636 10.846
```

Output
- Fermi-level density of states (states/eV per cell) = 5.44
- ΔH_f (0 K) (meV/atom) = -139

---

VASP calculation (PBE) on a geometry-optimized BeNb3Ir4 structure.

extended XYZ file:
```
8
Lattice="2.877 0.000 0.000 0.000 2.877 0.000 0.000 0.000 14.429" Properties=species:S:1:pos:R:3 pbc="T T T"
Be 0.000 0.000 0.000
Nb 0.000 0.000 3.293
Nb 0.000 0.000 7.215
Nb 0.000 0.000 11.136
Ir 1.438 1.438 1.393
Ir 1.438 1.438 5.264
Ir 1.438 1.438 9.165
Ir 1.438 1.438 13.036
```

Output
- Fermi-level density of states (states/eV per cell) = 8.78
- ΔH_f (0 K) (meV/atom) = -540

---

VASP calculation (PBE) on a geometry-optimized HgAsSe2 structure.

extended XYZ file:
```
4
Lattice="1.961 1.132 7.241 -1.961 1.132 7.241 0.000 -2.264 7.241" Properties=species:S:1:pos:R:3 pbc="T T T"
Hg 0.000 0.000 0.000
As 0.000 0.000 18.039
Se 0.000 0.000 5.120
Se 0.000 0.000 9.275
```

Output
- relative energy among the computed polymorphs (eV/atom) = 0.054
- Fermi-level density of states (states/eV per cell) = 2.29
- uncorrected formation energy (eV per atom) = -0.01

---

VASP calculation (PBE) on a geometry-optimized PmY2PuAs4 structure.

extended XYZ file:
```
8
Lattice="7.187 0.000 0.000 0.000 4.163 0.000 -2.400 0.000 6.784" Properties=species:S:1:pos:R:3 pbc="T T T"
Pm 0.000 0.000 0.000
Y 2.393 0.000 3.392
Y 3.593 2.082 0.000
Pu -1.200 2.082 3.392
As 0.010 0.000 5.061
As 1.211 2.082 1.733
As 3.576 2.082 5.052
As 4.776 0.000 1.723
```

Output
- Fermi-level density of states (states/eV per cell) = 13.42
- ΔH_f (0 K) (meV/atom) = -1404

---

VASP calculation (PBE) on a geometry-optimized Pr3Dy2HoEr6 structure.

extended XYZ file:
```
12
Lattice="3.094 -5.357 0.000 3.094 5.357 0.000 -2.055 0.000 11.576" Properties=species:S:1:pos:R:3 pbc="T T T"
Pr 0.000 0.000 0.000
Pr 3.094 1.785 0.000
Pr 3.094 -1.785 0.000
Dy 2.066 3.571 5.788
Dy 2.066 -3.571 5.788
Ho 2.066 0.000 5.788
Er 1.031 1.785 2.948
Er 0.008 0.000 8.628
Er 1.031 -1.785 2.948
Er 3.101 1.785 8.628
Er 4.124 0.000 2.947
Er 3.101 -1.785 8.628
```

Output
- Fermi-level density of states (states/eV per cell) = 15.43
- ΔH_f (0 K) (meV/atom) = 22

---

VASP calculation (PBE) on a geometry-optimized TiIrRu2 structure.

extended XYZ file:
```
8
Lattice="-1.878 1.878 8.929 1.878 -1.878 8.929 1.878 1.878 -8.929" Properties=species:S:1:pos:R:3 pbc="T T T"
Ti 0.000 0.000 0.000
Ti 0.000 1.878 4.465
Ir 1.878 0.000 4.465
Ir 0.000 0.000 8.929
Ru 2.818 0.915 -2.232
Ru 0.915 0.939 2.232
Ru -0.939 0.963 6.697
Ru 0.963 0.939 11.161
```

Output
- relative energy among the computed polymorphs (eV/atom) = 0.568
- Fermi-level density of states (states/eV per cell) = 8.00
- ΔH_f (0 K) (meV/atom) = 181